! PBE PdPtI6, optimized geometry; values from VASP
&SYSTEM
  ibrav = 0, nat = 16, ntyp = 3
/
ATOMIC_SPECIES
Pd 106.42 Pd.upf
Pt 195.08 Pt.upf
I 126.90 I.upf
CELL_PARAMETERS angstrom
8.676 0.000 0.000
0.000 10.575 0.000
-0.897 0.000 7.486
ATOMIC_POSITIONS angstrom
Pd 0.000 0.000 0.000
Pd 4.338 5.288 0.000
Pt -0.449 0.000 3.743
Pt 3.889 5.288 3.743
I -0.100 1.790 5.728
I -0.100 8.785 5.728
I 1.161 5.288 4.228
I 2.279 0.000 3.258
I 3.540 3.498 1.758
I 3.540 7.077 1.758
I 4.238 3.498 5.728
I 4.238 7.077 5.728
I 5.499 0.000 4.228
I 6.617 5.288 3.258
I 7.878 1.790 1.758
I 7.878 8.785 1.758
! raw total energy: -0.099 Ha/atom
! energy relative to the elements, uncorrected: -0.13 eV/atom
! space-group type: C2/m
! total magnetic moment: 0.00 Bohr magnetons per cell
! offset from the most stable computed form: 0.08 eV/f.u.

! PBE UNbGa, optimized geometry; values from VASP
&SYSTEM
  ibrav = 0, nat = 6, ntyp = 3
/
ATOMIC_SPECIES
U 238.03 U.upf
Nb 92.91 Nb.upf
Ga 69.72 Ga.upf
CELL_PARAMETERS angstrom
2.218 1.281 7.128
-2.218 1.281 7.128
0.000 -2.562 7.128
ATOMIC_POSITIONS angstrom
U 0.000 0.000 3.092
U 0.000 0.000 18.291
Nb 0.000 0.000 6.233
Nb 0.000 0.000 15.150
Ga 0.000 0.000 8.876
Ga 0.000 0.000 12.508
! raw total energy: -0.291 Ha/atom
! space-group type: R-3m
! total magnetic moment: 2.51 Bohr magnetons per cell
! offset from the most stable computed form: 0.36 eV/f.u.

! PBE Dy2TlHg, optimized geometry; values from VASP
&SYSTEM
  ibrav = 0, nat = 12, ntyp = 3
/
ATOMIC_SPECIES
Dy 162.50 Dy.upf
Tl 204.38 Tl.upf
Hg 200.59 Hg.upf
CELL_PARAMETERS angstrom
3.756 0.000 0.000
-1.878 3.252 0.000
0.000 0.000 28.132
ATOMIC_POSITIONS angstrom
Dy 0.000 0.000 6.976
Dy 0.000 0.000 21.156
Dy 0.000 2.168 11.778
Dy 0.000 2.168 25.731
Dy 1.878 1.084 2.401
Dy 1.878 1.084 16.354
Tl 0.000 0.000 0.000
Tl 0.000 2.168 18.755
Tl 1.878 1.084 9.377
Hg 0.000 0.000 14.066
Hg 0.000 2.168 4.689
Hg 1.878 1.084 23.443
! raw total energy: -0.121 Ha/atom
! space-group type: R-3m
! total magnetic moment: 0.00 Bohr magnetons per cell